[1]
Here is a relaxed structure of Pr2Sn4Pd3Pt from the Alexandria database. Energies are from PBE.

```
data_Pr2Sn4Pd3Pt
_chemical_formula_sum 'Pr2 Sn4 Pd3 Pt1'
_space_group_name_H-M_alt 'P -4 m 2'
_space_group_IT_number 115
_cell_length_a 4.603
_cell_length_b 4.603
_cell_length_c 10.764
_cell_angle_alpha 90.00
_cell_angle_beta 90.00
_cell_angle_gamma 90.00
loop_
_space_group_symop_operation_xyz
'x,y,z'
'y,-x,-z'
'-x,-y,z'
'-y,x,-z'
'-x,y,z'
'-y,-x,-z'
'x,-y,z'
'y,x,-z'
loop_
_atom_site_label
_atom_site_fract_x
_atom_site_fract_y
_atom_site_fract_z
_atom_site_occupancy
Pr1 0.000 0.500 0.239 1
Sn1 0.000 0.000 0.500 1
Sn2 0.000 0.500 0.872 1
Sn3 0.500 0.500 0.500 1
Pd1 0.000 0.000 0.000 1
Pd2 0.000 0.500 0.630 1
Pt1 0.500 0.500 0.000 1
```

## Properties
ΔE_f: -76.7 kJ/mol of atoms
Size of the total moment: 0.000 μB per formula unit

---

[2]
Here is a relaxed structure of NaCeTl2Cl6 from the Alexandria database. Energies are from PBE.

```
data_NaCeTl2Cl6
_chemical_formula_sum 'Na2 Ce2 Tl4 Cl12'
_space_group_name_H-M_alt 'C 1 2/m 1'
_space_group_IT_number 12
_cell_length_a 13.206
_cell_length_b 7.680
_cell_length_c 7.711
_cell_angle_alpha 90.00
_cell_angle_beta 125.52
_cell_angle_gamma 90.00
loop_
_space_group_symop_operation_xyz
'x,y,z'
'-x,-y,-z'
'-x,y,-z'
'x,-y,z'
'x+1/2,y+1/2,z'
'-x+1/2,-y+1/2,-z'
'-x+1/2,y+1/2,-z'
'x+1/2,-y+1/2,z'
loop_
_atom_site_label
_atom_site_fract_x
_atom_site_fract_y
_atom_site_fract_z
_atom_site_occupancy
Na1 0.000 0.000 0.000 1
Ce1 0.000 0.500 0.500 1
Tl1 0.247 0.500 0.219 1
Cl1 0.060 0.251 0.806 1
Cl2 0.245 0.500 0.639 1
```

## Properties
Energy relative to the elements, uncorrected: -16.62 eV per formula unit
Size of the total moment: 1.000 μB per formula unit

---

[3]
Here is a relaxed structure of Sc2AgPt from the Alexandria database. Energies are from PBE.

```
data_Sc2AgPt
_chemical_formula_sum 'Sc4 Ag2 Pt2'
_space_group_name_H-M_alt 'I -4 m 2'
_space_group_IT_number 119
_space_group_name_Hall 'I -4 -2'
_cell_length_a 4.087
_cell_length_b 4.087
_cell_length_c 8.881
_cell_angle_alpha 90.00
_cell_angle_beta 90.00
_cell_angle_gamma 90.00
loop_
_atom_site_label
_atom_site_fract_x
_atom_site_fract_y
_atom_site_fract_z
_atom_site_occupancy
Sc1 0.000 0.000 0.000 1
Sc2 0.000 0.500 0.250 1
Ag1 0.000 0.500 0.750 1
Pt1 0.000 0.000 0.500 1
```

## Properties
ΔE_f: -59.2 kJ/mol of atoms
Size of the total moment: 0.000 μB per formula unit

---

[4]
Here is a relaxed structure of Zr3Sc5O12 from the Alexandria database. Energies are from PBE.

```
data_Zr3Sc5O12
_chemical_formula_sum 'Zr24 Sc40 O96'
_space_group_name_H-M_alt 'I a -3 d'
_space_group_IT_number 230
_space_group_name_Hall '-I 4bd 2c 3'
_cell_length_a 12.616
_cell_length_b 12.616
_cell_length_c 12.616
_cell_angle_alpha 90.00
_cell_angle_beta 90.00
_cell_angle_gamma 90.00
loop_
_atom_site_label
_atom_site_fract_x
_atom_site_fract_y
_atom_site_fract_z
_atom_site_occupancy
Zr1 0.000 0.250 0.125 1
Sc1 0.000 0.000 0.000 1
Sc2 0.000 0.250 0.375 1
O1 0.024 0.068 0.653 1
```

## Properties
Energy relative to the elements, uncorrected: -61.48 eV per formula unit
Size of the total moment: 2.192 μB per formula unit

---

[5]
Here is a relaxed structure of AlCu2Se from the Alexandria database. Energies are from PBE.

```
data_AlCu2Se
_chemical_formula_sum 'Al1 Cu2 Se1'
_space_group_name_H-M_alt 'P 1 2/m 1'
_space_group_IT_number 10
_cell_length_a 2.749
_cell_length_b 3.761
_cell_length_c 6.097
_cell_angle_alpha 90.00
_cell_angle_beta 93.12
_cell_angle_gamma 90.00
loop_
_space_group_symop_operation_xyz
'x,y,z'
'-x,-y,-z'
'-x,y,-z'
'x,-y,z'
loop_
_atom_site_label
_atom_site_fract_x
_atom_site_fract_y
_atom_site_fract_z
_atom_site_occupancy
Al1 0.000 0.000 0.000 1
Cu1 0.497 0.500 0.797 1
Se1 0.500 0.000 0.500 1
```

## Properties
Energy relative to the elements, uncorrected: -0.03 eV per formula unit
Size of the total moment: 0.000 μB per formula unit

---

[6]
Here is a relaxed structure of Pb4Br6O from the Alexandria database. Energies are from PBE.

```
data_Pb4Br6O
_chemical_formula_sum 'Pb8 Br12 O2'
_space_group_name_H-M_alt 'P 63 m c'
_space_group_IT_number 186
_space_group_name_Hall 'P 6c -2c'
_cell_length_a 10.0802
_cell_length_b 10.0802
_cell_length_c 7.6160
_cell_angle_alpha 90.00
_cell_angle_beta 90.00
_cell_angle_gamma 120.00
loop_
_atom_site_label
_atom_site_fract_x
_atom_site_fract_y
_atom_site_fract_z
_atom_site_occupancy
Pb1 0.2026 0.4053 0.0000 1
Pb2 0.3333 0.6667 0.4176 1
Br1 0.0698 0.5349 0.7066 1
Br2 0.1451 0.2901 0.3808 1
O1 0.3333 0.6667 0.0954 1
```

## Properties
Energy relative to the elements, uncorrected: -10.44 eV per formula unit
Size of the total moment: 0.000 μB per formula unit

---

[7]
Here is a relaxed structure of Cs3ICl from the Alexandria database. Energies are from PBE.

```
data_Cs3ICl
_chemical_formula_sum 'Cs3 I1 Cl1'
_space_group_name_H-M_alt 'P m -3 m'
_space_group_IT_number 221
_space_group_name_Hall '-P 4 2 3'
_cell_length_a 6.876
_cell_length_b 6.876
_cell_length_c 6.876
_cell_angle_alpha 90.00
_cell_angle_beta 90.00
_cell_angle_gamma 90.00
loop_
_atom_site_label
_atom_site_fract_x
_atom_site_fract_y
_atom_site_fract_z
_atom_site_occupancy
Cs1 0.000 0.000 0.500 1
I1 0.500 0.500 0.500 1
Cl1 0.000 0.000 0.000 1
```

## Properties
Energy relative to the elements, uncorrected: -6.09 eV per formula unit
Excess energy over the best structure of this formula in the dataset: 0.00 eV/f.u.
Size of the total moment: 0.000 μB per formula unit

---

[8]
Here is a relaxed structure of Ba3OsRu from the Alexandria database. Energies are from PBE.

```
data_Ba3OsRu
_chemical_formula_sum 'Ba3 Os1 Ru1'
_space_group_name_H-M_alt 'P m -3 m'
_space_group_IT_number 221
_space_group_name_Hall '-P 4 2 3'
_cell_length_a 5.837
_cell_length_b 5.837
_cell_length_c 5.837
_cell_angle_alpha 90.00
_cell_angle_beta 90.00
_cell_angle_gamma 90.00
loop_
_atom_site_label
_atom_site_fract_x
_atom_site_fract_y
_atom_site_fract_z
_atom_site_occupancy
Ba1 0.000 0.000 0.500 1
Os1 0.000 0.000 0.000 1
Ru1 0.500 0.500 0.500 1
```

## Properties
ΔE_f: 108.3 kJ/mol of atoms
Size of the total moment: 1.607 μB per formula unit

---

[9]
Here is a relaxed structure of PrPt2Pb2 from the Alexandria database. Energies are from PBE.

```
data_PrPt2Pb2
_chemical_formula_sum 'Pr2 Pt4 Pb4'
_space_group_name_H-M_alt 'P 1 21/m 1'
_space_group_IT_number 11
_cell_length_a 4.976
_cell_length_b 4.911
_cell_length_c 10.427
_cell_angle_alpha 90.00
_cell_angle_beta 92.74
_cell_angle_gamma 90.00
loop_
_space_group_symop_operation_xyz
'x,y,z'
'-x,-y,-z'
'-x,y+1/2,-z'
'x,-y+1/2,z'
loop_
_atom_site_label
_atom_site_fract_x
_atom_site_fract_y
_atom_site_fract_z
_atom_site_occupancy
Pr1 0.210 0.250 0.171 1
Pt1 0.240 0.750 0.342 1
Pt2 0.312 0.750 0.975 1
Pb1 0.253 0.250 0.506 1
Pb2 0.264 0.250 0.823 1
```

## Properties
ΔE_f: -55.6 kJ/mol of atoms
Size of the total moment: 0.000 μB per formula unit

---

[10]
Here is a relaxed structure of LiTiBeNi from the Alexandria database. Energies are from PBE.

```
data_LiTiBeNi
_chemical_formula_sum 'Li4 Ti4 Be4 Ni4'
_space_group_name_H-M_alt 'F -4 3 m'
_space_group_IT_number 216
_space_group_name_Hall 'F -4 2 3'
_cell_length_a 5.718
_cell_length_b 5.718
_cell_length_c 5.718
_cell_angle_alpha 90.00
_cell_angle_beta 90.00
_cell_angle_gamma 90.00
loop_
_atom_site_label
_atom_site_fract_x
_atom_site_fract_y
_atom_site_fract_z
_atom_site_occupancy
Li1 0.000 0.000 0.000 1
Ti1 0.250 0.250 0.750 1
Be1 0.250 0.250 0.250 1
Ni1 0.000 0.000 0.500 1
```

## Properties
ΔE_f: -10.0 kJ/mol of atoms
Size of the total moment: 0.596 μB per formula unit